Entry 1:
10
Lattice="7.000 0.000 0.000 0.000 7.000 0.000 0.000 0.000 4.915" Properties=species:S:1:pos:R:3 comment="LiAs2Cl2 PBE-GGA relaxed" dos_ef_per_ev_cell=2.877 crystal_system=tetragonal e_form_raw_ev_per_atom=-0.36 e_above_lowest_polymorph_mev_per_atom=0 energy_ev_per_cell=-33.37 volume_a3_per_cell=240.9 pbc="T T T"
Li 0.000 0.000 0.000
Li 3.500 3.500 0.000
As 0.870 2.631 0.000
As 2.631 6.131 0.000
As 4.370 0.870 0.000
As 6.131 4.370 0.000
Cl 1.218 2.282 2.458
Cl 2.282 5.783 2.458
Cl 4.718 1.218 2.458
Cl 5.783 4.718 2.458

Entry 2:
5
Lattice="3.793 0.000 0.000 -1.896 3.285 0.000 0.000 0.000 6.116" Properties=species:S:1:pos:R:3 comment="Li2FeS2 PBE-GGA relaxed" dos_ef_per_ev_cell=2.654 crystal_system=trigonal e_form_raw_ev_per_atom=-0.77 e_above_lowest_polymorph_mev_per_atom=117 energy_ev_per_cell=-24.38 volume_a3_per_cell=76.2 pbc="T T T"
Li 0.000 2.190 0.840
Li 1.896 1.095 5.276
Fe 0.000 0.000 3.058
S 0.000 2.190 4.430
S 1.896 1.095 1.686

Entry 3:
5
Lattice="5.102 0.000 0.000 0.000 5.102 0.000 0.000 0.000 5.102" Properties=species:S:1:pos:R:3 comment="RbGeAu3 PBE-GGA relaxed" dos_ef_per_ev_cell=0.473 crystal_system=cubic e_form_ev_per_atom=-0.1461 e_above_lowest_polymorph_mev_per_atom=0 energy_ev_per_cell=-16.15 volume_a3_per_cell=132.8 pbc="T T T"
Rb 0.000 0.000 0.000
Ge 2.551 2.551 2.551
Au 0.000 2.551 2.551
Au 2.551 0.000 2.551
Au 2.551 2.551 0.000

Entry 4:
4
Lattice="3.423 0.000 0.000 0.000 3.423 0.000 0.000 0.000 7.793" Properties=species:S:1:pos:R:3 comment="ScTl2Ag PBE-GGA relaxed" dos_ef_per_ev_cell=2.437 crystal_system=tetragonal e_form_ev_per_atom=-0.0232 energy_ev_per_cell=-14.01 volume_a3_per_cell=91.3 pbc="T T T"
Sc 0.000 0.000 0.000
Tl 1.712 1.712 1.991
Tl 1.712 1.712 5.802
Ag 0.000 0.000 3.896